{
  "formula": "MnSiB",
  "functional": "GGA-PBE",
  "state": "optimized geometry",
  "polymorph_energy_mev_per_atom": 126,
  "lattice": [[4.331, 0.000, 0.001], [0.000, 4.892, 0.000], [-0.810, 0.000, 5.812]],
  "species": ["B", "B", "B", "B", "Si", "Si", "Si", "Si", "Mn", "Mn", "Mn", "Mn"],
  "frac_coords": [[0.500, 0.178, 0.500], [0.500, 0.322, 0.000], [0.500, 0.678, 0.000], [0.500, 0.822, 0.500], [0.000, 0.746, 0.500], [0.000, 0.754, 0.000], [0.000, 0.246, 0.000], [0.000, 0.254, 0.500], [0.639, 0.000, 0.214], [0.361, 0.500, 0.286], [0.361, 0.000, 0.786], [0.639, 0.500, 0.714]]
}

***

{
  "formula": "SmTlCuPt",
  "functional": "GGA-PBE",
  "state": "optimized geometry",
  "energy_ev_per_cell": -18.913,
  "lattice": [[-2.895, 2.132, -3.300], [-4.850, -0.261, 0.478], [-2.551, 3.983, 1.203]],
  "species": ["Cu", "Tl", "Pt", "Sm"],
  "frac_coords": [[0.250, 0.250, 0.250], [0.500, 0.500, 0.500], [0.750, 0.750, 0.750], [0.000, 0.000, 0.000]]
}

***

{
  "formula": "As3C",
  "functional": "GGA-PBE",
  "state": "optimized geometry",
  "polymorph_energy_mev_per_atom": 718,
  "lattice": [[2.885, 0.000, 0.000], [0.000, 2.885, 0.000], [0.000, 0.000, 7.902]],
  "species": ["C", "As", "As", "As"],
  "frac_coords": [[0.500, 0.500, 0.750], [0.000, 0.000, 0.588], [0.000, 0.000, 0.912], [0.500, 0.500, 0.250]]
}

***

{
  "formula": "KTi2Pt",
  "functional": "GGA-PBE",
  "state": "optimized geometry",
  "polymorph_energy_mev_per_atom": 203,
  "lattice": [[-4.554, 1.314, 1.832], [-1.561, -4.817, -0.424], [-0.213, -3.399, 8.955]],
  "species": ["Ti", "Ti", "Ti", "Ti", "K", "K", "Pt", "Pt"],
  "frac_coords": [[0.870, 0.125, 0.250], [0.875, 0.120, 0.750], [0.880, 0.625, 0.250], [0.375, 0.130, 0.750], [0.500, 0.500, 0.000], [0.250, 0.750, 0.500], [0.750, 0.250, 0.500], [0.000, 0.000, 0.000]]
}

***

- Number 2 is which compound?
  SmTlCuPt